P.
First-principles (GGA-PBE) data for an optimized crystal structure of Tb7Pt2Rh2, as listed in Alexandria.

Computed properties:
DOS(E_F) in states/eV/atom: 0.855
M_tot in μB per cell: 0.0

Lattice parameters (Å, degrees): 6.664 6.900 6.664 90.00 103.01 90.00
Element x y z (fractional)
Pt1 0.224 0.500 0.224
Tb1 0.500 0.255 0.500
Tb2 0.500 0.261 0.000
Rh1 0.279 0.000 0.721
Tb3 0.000 0.261 0.500
Tb4 0.000 0.000 0.000
Pt2 0.776 0.500 0.776
Tb5 0.500 0.745 0.500
Tb6 0.000 0.739 0.500
Rh2 0.721 0.000 0.279
Tb7 0.500 0.739 0.000

Q.
First-principles (GGA-PBE) data for an optimized crystal structure of Tb7Pt2Rh2, as listed in Alexandria.

Computed properties:
DOS(E_F) in states/eV/atom: 0.921
M_tot in μB per cell: 0.0

Lattice parameters (Å, degrees): 3.908 9.101 9.101 61.80 77.60 77.60
Element x y z (fractional)
Pt1 0.500 0.352 0.648
Pt2 0.000 0.776 0.224
Tb1 0.614 0.492 0.279
Rh1 0.740 0.858 0.662
Rh2 0.260 0.338 0.142
Tb2 0.386 0.721 0.508
Tb3 0.500 0.998 0.002
Tb4 0.190 0.705 0.914
Tb5 0.128 0.134 0.609
Tb6 0.810 0.086 0.295
Tb7 0.872 0.391 0.866

Result of the stability comparison: P is the least stable of them.

P.
First-principles (GGA-PBE) data for an optimized crystal structure of TbThPtRh, as listed in Alexandria.

Computed properties:
DOS(E_F) in states/eV/atom: 1.250
M_tot in μB per cell: 0.0

Lattice parameters (Å, degrees): 5.020 5.020 5.020 60.00 60.00 60.00
Element x y z (fractional)
Tb1 0.000 0.000 0.000
Th1 0.500 0.500 0.500
Rh1 0.250 0.250 0.250
Pt1 0.750 0.750 0.750

Q.
First-principles (GGA-PBE) data for an optimized crystal structure of TbThPtRh, as listed in Alexandria.

Computed properties:
DOS(E_F) in states/eV/atom: 0.765
M_tot in μB per cell: 0.0

Lattice parameters (Å, degrees): 3.840 4.337 5.829 90.00 109.23 90.00
Element x y z (fractional)
Pt1 0.591 0.500 0.182
Rh1 0.403 0.000 0.806
Tb1 0.140 0.000 0.280
Th1 0.866 0.500 0.732

Result of the stability comparison: P is the least stable of them.

P.
First-principles (GGA-PBE) data for an optimized crystal structure of TbTmPtRh, as listed in Alexandria.

Computed properties:
DOS(E_F) in states/eV/atom: 0.494
M_tot in μB per cell: 0.0

Lattice parameters (Å, degrees): 3.759 4.332 5.597 90.00 109.62 90.00
Element x y z (fractional)
Rh1 0.410 0.000 0.819
Tm1 0.862 0.500 0.723
Pt1 0.585 0.500 0.170
Tb1 0.144 0.000 0.287

Q.
First-principles (GGA-PBE) data for an optimized crystal structure of TbTmPtRh, as listed in Alexandria.

Computed properties:
DOS(E_F) in states/eV/atom: 0.334
M_tot in μB per cell: 0.0

Lattice parameters (Å, degrees): 4.871 4.871 4.871 60.00 60.00 60.00
Element x y z (fractional)
Rh1 0.250 0.250 0.250
Tm1 0.500 0.500 0.500
Pt1 0.750 0.750 0.750
Tb1 0.000 0.000 0.000

Result of the stability comparison: Q is the least stable of them.

P.
First-principles (GGA-PBE) data for an optimized crystal structure of TcPt3Rh3, as listed in Alexandria.

Computed properties:
DOS(E_F) in states/eV/atom: 1.456
M_tot in μB per cell: 0.0

Lattice parameters (Å, degrees): 6.330 6.330 5.503 90.00 90.00 91.31
Element x y z (fractional)
Pt1 0.303 0.697 0.500
Rh1 0.000 0.500 0.756
Tc1 0.744 0.744 0.000
Pt2 0.728 0.728 0.500
Rh2 0.500 0.000 0.756
Rh3 0.000 0.000 0.760
Tc2 0.256 0.256 0.000
Pt3 0.319 0.681 0.000
Pt4 0.697 0.303 0.500
Rh4 0.500 0.000 0.244
Rh5 0.000 0.000 0.240
Rh6 0.000 0.500 0.244
Pt5 0.681 0.319 0.000
Pt6 0.272 0.272 0.500

Q.
First-principles (GGA-PBE) data for an optimized crystal structure of TcPt3Rh3, as listed in Alexandria.

Computed properties:
DOS(E_F) in states/eV/atom: 1.022
M_tot in μB per cell: 0.0

Lattice parameters (Å, degrees): 2.707 9.909 9.909 120.00 90.00 90.00
Element x y z (fractional)
Pt1 0.250 0.076 0.806
Pt2 0.250 0.730 0.924
Rh1 0.250 0.374 0.901
Tc1 0.250 0.667 0.333
Pt3 0.750 0.806 0.730
Rh2 0.250 0.527 0.626
Rh3 0.750 0.901 0.527
Rh4 0.750 0.626 0.099
Pt4 0.750 0.924 0.194
Tc2 0.750 0.333 0.667
Pt5 0.750 0.270 0.076
Rh5 0.750 0.473 0.374
Rh6 0.250 0.099 0.473
Pt6 0.250 0.194 0.270

Result of the stability comparison: Q is the least stable of them.

P.
First-principles (GGA-PBE) data for an optimized crystal structure of TcPt2Rh, as listed in Alexandria.

Computed properties:
DOS(E_F) in states/eV/atom: 1.280
M_tot in μB per cell: 0.0

Lattice parameters (Å, degrees): 4.795 4.795 4.798 80.65 80.65 33.24
Element x y z (fractional)
Rh1 0.503 0.503 0.491
Pt1 0.997 0.997 0.006
Pt2 0.751 0.751 0.748
Tc1 0.248 0.248 0.256

Q.
First-principles (GGA-PBE) data for an optimized crystal structure of TcPt2Rh, as listed in Alexandria.

Computed properties:
DOS(E_F) in states/eV/atom: 1.064
M_tot in μB per cell: 0.0

Lattice parameters (Å, degrees): 2.755 3.952 5.470 90.00 90.00 90.00
Element x y z (fractional)
Pt1 0.000 0.000 0.505
Rh1 0.500 0.500 0.250
Pt2 0.000 0.000 0.995
Tc1 0.500 0.500 0.750

R.
First-principles (GGA-PBE) data for an optimized crystal structure of TcPt2Rh, as listed in Alexandria.

Computed properties:
DOS(E_F) in states/eV/atom: 0.946
M_tot in μB per cell: 0.0

Lattice parameters (Å, degrees): 3.660 5.472 6.689 96.77 90.00 90.00
Element x y z (fractional)
Tc1 0.750 0.367 0.422
Pt1 0.250 0.139 0.628
Pt2 0.750 0.861 0.372
Rh1 0.750 0.482 0.817
Rh2 0.250 0.518 0.183
Tc2 0.250 0.633 0.578
Pt3 0.750 0.156 0.061
Pt4 0.250 0.844 0.939

Result of the stability comparison: R is the least stable of them.

P.
First-principles (GGA-PBE) data for an optimized crystal structure of TcPt2Rh, as listed in Alexandria.

Computed properties:
DOS(E_F) in states/eV/atom: 1.108
M_tot in μB per cell: 0.0

Lattice parameters (Å, degrees): 4.814 4.814 4.810 132.43 132.43 69.61
Element x y z (fractional)
Pt1 0.000 0.000 0.000
Pt2 0.750 0.250 0.500
Tc1 0.250 0.750 0.500
Rh1 0.500 0.500 0.000

Q.
First-principles (GGA-PBE) data for an optimized crystal structure of TcPt2Rh, as listed in Alexandria.

Computed properties:
DOS(E_F) in states/eV/atom: 1.436
M_tot in μB per cell: 0.0

Lattice parameters (Å, degrees): 4.816 4.816 2.742 90.01 90.01 110.25
Element x y z (fractional)
Pt1 0.500 0.500 0.000
Pt2 0.000 0.000 0.000
Rh1 0.500 0.000 0.500
Tc1 0.000 0.500 0.500

Result of the stability comparison: Q is the least stable of them.

P.
First-principles (GGA-PBE) data for an optimized crystal structure of TcPt2Rh, as listed in Alexandria.

Computed properties:
DOS(E_F) in states/eV/atom: 0.834
M_tot in μB per cell: 0.0

Lattice parameters (Å, degrees): 9.223 9.223 9.223 17.21 17.21 17.21
Element x y z (fractional)
Tc1 0.753 0.753 0.753
Pt1 0.003 0.003 0.003
Rh1 0.496 0.496 0.496
Pt2 0.249 0.249 0.249

Q.
First-principles (GGA-PBE) data for an optimized crystal structure of TcPt2Rh, as listed in Alexandria.

Computed properties:
DOS(E_F) in states/eV/atom: 1.682
M_tot in μB per cell: 1.3

Lattice parameters (Å, degrees): 3.901 3.902 3.937 90.00 90.00 90.00
Last column: magnetic moment on the atom in μB.
Element x y z (fractional)
Rh1 0.500 0.000 0.500  0.17
Pt1 0.500 0.500 0.000  0.11
Pt2 0.000 0.000 0.000  0.11
Tc1 0.000 0.500 0.500  0.82

R.
First-principles (GGA-PBE) data for an optimized crystal structure of TcPt2Rh, as listed in Alexandria.

Computed properties:
DOS(E_F) in states/eV/atom: 1.080
M_tot in μB per cell: 0.0

Lattice parameters (Å, degrees): 2.748 2.748 7.894 90.00 90.00 90.00
Element x y z (fractional)
Pt1 0.000 0.000 0.994
Rh1 0.500 0.500 0.250
Tc1 0.500 0.500 0.750
Pt2 0.000 0.000 0.506

S.
First-principles (GGA-PBE) data for an optimized crystal structure of TcPt2Rh, as listed in Alexandria.

Computed properties:
DOS(E_F) in states/eV/atom: 1.273
M_tot in μB per cell: 0.0

Lattice parameters (Å, degrees): 4.824 4.824 4.821 132.66 132.65 69.23
Element x y z (fractional)
Tc1 0.250 0.750 0.500
Pt1 0.500 0.500 0.000
Pt2 0.000 0.000 0.000
Rh1 0.750 0.250 0.500

Result of the stability comparison: Q is the least stable of them.

P.
First-principles (GGA-PBE) data for an optimized crystal structure of TcPt2Rh, as listed in Alexandria.

Computed properties:
DOS(E_F) in states/eV/atom: 1.352
M_tot in μB per cell: 1.7

Lattice parameters (Å, degrees): 4.432 4.432 4.432 60.00 60.00 60.00
Last column: magnetic moment on the atom in μB.
Element x y z (fractional)
Pt1 0.000 0.000 0.000  0.17
Tc1 0.750 0.750 0.750  1.20
Rh1 0.500 0.500 0.500  0.32
Pt2 0.250 0.250 0.250  -0.06

Q.
First-principles (GGA-PBE) data for an optimized crystal structure of TcPt2Rh, as listed in Alexandria.

Computed properties:
DOS(E_F) in states/eV/atom: 0.919
M_tot in μB per cell: 0.0

Lattice parameters (Å, degrees): 2.747 3.915 5.548 90.00 90.00 90.00
Element x y z (fractional)
Tc1 0.500 0.500 0.743
Pt1 0.500 0.500 0.254
Rh1 0.000 0.000 0.512
Pt2 0.000 0.000 0.991

R.
First-principles (GGA-PBE) data for an optimized crystal structure of TcPt2Rh, as listed in Alexandria.

Computed properties:
DOS(E_F) in states/eV/atom: 0.790
M_tot in μB per cell: 0.0

Lattice parameters (Å, degrees): 2.739 2.739 7.955 90.00 90.00 90.00
Element x y z (fractional)
Rh1 0.000 0.000 0.513
Pt1 0.500 0.500 0.255
Pt2 0.000 0.000 0.989
Tc1 0.500 0.500 0.743

S.
First-principles (GGA-PBE) data for an optimized crystal structure of TcPt2Rh, as listed in Alexandria.

Computed properties:
DOS(E_F) in states/eV/atom: 1.642
M_tot in μB per cell: 0.6

Lattice parameters (Å, degrees): 9.187 9.187 9.187 17.31 17.31 17.31
Last column: magnetic moment on the atom in μB.
Element x y z (fractional)
Pt1 0.498 0.498 0.498  0.05
Tc1 0.750 0.750 0.750  0.01
Pt2 0.002 0.002 0.002  0.05
Rh1 0.250 0.250 0.250  0.52

Result of the stability comparison: P is the least stable of them.

P.
First-principles (GGA-PBE) data for an optimized crystal structure of TcPt2Rh, as listed in Alexandria.

Computed properties:
DOS(E_F) in states/eV/atom: 1.416
M_tot in μB per cell: 0.1

Lattice parameters (Å, degrees): 7.019 7.019 5.646 51.57 51.57 90.00
Element x y z (fractional)
Rh1 0.000 0.000 0.000
Pt1 0.875 0.861 0.750
Tc1 0.500 0.500 0.000
Pt2 0.139 0.625 0.250
Rh2 0.750 0.250 0.500
Tc2 0.250 0.750 0.500
Pt3 0.375 0.389 0.750
Pt4 0.611 0.125 0.250

Q.
First-principles (GGA-PBE) data for an optimized crystal structure of TcPt2Rh, as listed in Alexandria.

Computed properties:
DOS(E_F) in states/eV/atom: 1.260
M_tot in μB per cell: 0.8

Lattice parameters (Å, degrees): 4.425 4.425 4.425 60.00 60.00 60.00
Last column: magnetic moment on the atom in μB.
Element x y z (fractional)
Pt1 0.250 0.250 0.250  0.11
Tc1 0.000 0.000 0.000  0.69
Rh1 0.500 0.500 0.500  -0.12
Pt2 0.750 0.750 0.750  0.11

R.
First-principles (GGA-PBE) data for an optimized crystal structure of TcPt2Rh, as listed in Alexandria.

Computed properties:
DOS(E_F) in states/eV/atom: 1.351
M_tot in μB per cell: 0.0

Lattice parameters (Å, degrees): 4.795 4.795 4.779 80.48 80.48 33.46
Element x y z (fractional)
Pt1 0.502 0.502 0.495
Tc1 0.250 0.250 0.250
Rh1 0.750 0.750 0.750
Pt2 0.998 0.998 0.005

Result of the stability comparison: P is the least stable of them.

P.
First-principles (GGA-PBE) data for an optimized crystal structure of TcPt4Rh, as listed in Alexandria.

Computed properties:
DOS(E_F) in states/eV/atom: 1.470
M_tot in μB per cell: 0.9

Lattice parameters (Å, degrees): 2.760 2.760 11.959 90.02 90.00 90.00
Last column: magnetic moment on the atom in μB.
Element x y z (fractional)
Pt1 0.500 0.500 0.159  0.04
Pt2 0.000 0.000 0.664  0.15
Pt3 0.500 0.500 0.841  0.04
Pt4 0.000 0.000 0.336  0.15
Tc1 0.000 0.000 0.000  -0.01
Rh1 0.500 0.500 0.500  0.50

Q.
First-principles (GGA-PBE) data for an optimized crystal structure of TcPt4Rh, as listed in Alexandria.

Computed properties:
DOS(E_F) in states/eV/atom: 1.700
M_tot in μB per cell: 1.9

Lattice parameters (Å, degrees): 5.191 5.191 5.191 60.00 60.00 60.00
Last column: magnetic moment on the atom in μB.
Element x y z (fractional)
Tc1 0.000 0.000 0.000  2.09
Pt1 0.375 0.875 0.375  0.04
Rh1 0.750 0.750 0.750  -0.52
Pt2 0.875 0.375 0.375  0.04
Pt3 0.375 0.375 0.875  0.04
Pt4 0.375 0.375 0.375  0.04

Result of the stability comparison: Q is the least stable of them.